(1)
DFT (PBE-GGA) results for a relaxed Nb2V13 crystal.

Cell and atoms, written as extended XYZ:
```
15
Lattice="-2.0995 -4.9672 -3.9519 0.5626 -6.3472 2.0237 -6.5540 -3.4232 2.1293" Properties=species:S:1:pos:R:3 pbc="T T T"
Nb -6.4985 -7.2274 1.2261
Nb -1.5924 -7.5102 -1.0249
V -4.0454 -7.3688 0.1006
V -1.8917 -9.0490 1.0683
V -2.2400 -5.1199 -0.1844
V -3.5397 -8.1948 -2.6307
V -4.5512 -6.5428 2.8319
V -6.1991 -5.6886 -0.8671
V -5.8509 -9.6176 0.3856
V -4.1721 -8.8811 2.0687
V -4.5122 -5.0442 0.8453
V -5.7814 -8.0469 -1.5436
V -2.3095 -6.6907 1.7447
V -3.9188 -5.8565 -1.8675
V -3.5787 -9.6934 -0.6442
```

Properties
- space group = R-3m
- formation energy from the elements (eV per atom) = 0.751



(2)
DFT (PBE-GGA) results for a relaxed NbV crystal.

Cell and atoms, written as extended XYZ:
```
4
Lattice="3.1578 0.0000 0.0000 0.0000 3.1578 0.0000 0.0000 0.0000 6.3946" Properties=species:S:1:pos:R:3 pbc="T T T"
Nb 0.0000 1.5789 5.5065
Nb 1.5789 0.0000 0.8881
V 0.0000 1.5789 2.4834
V 1.5789 0.0000 3.9113
```

Properties
- space group = P4/nmm
- formation energy from the elements (eV per atom) = 0.044



(3)
DFT (PBE-GGA) results for a relaxed Nb8V crystal.

Cell and atoms, written as extended XYZ:
```
9
Lattice="-1.3212 2.9046 -0.7652 -1.4336 -0.6422 -6.9980 -7.0047 -1.0310 1.1450" Properties=species:S:1:pos:R:3 pbc="T T T"
Nb -5.6088 1.2263 0.2671
Nb -2.7172 0.6473 0.1126
Nb -6.0844 -0.1591 -4.1703
Nb -1.8437 1.4891 -5.2361
Nb -3.2763 -0.7708 -4.3047
Nb -0.9112 0.7733 -2.5271
Nb -3.6752 1.3905 -2.4480
Nb -5.1621 -0.9024 -1.5483
V 0.0000 0.0000 0.0000
```

Properties
- space group = I4/mmm
- formation energy from the elements (eV per atom) = -0.004



(4)
DFT (PBE-GGA) results for a relaxed NbV4 crystal.

Cell and atoms, written as extended XYZ:
```
5
Lattice="-0.6137 -2.2750 2.6878 -1.6089 -2.2477 -2.2662 6.3923 -0.4342 -1.2865" Properties=species:S:1:pos:R:3 pbc="T T T"
Nb 2.8893 -1.3546 0.7006
V 4.7253 -3.8263 -0.9704
V -0.5557 -1.1307 0.1054
V 0.7088 -3.0702 1.1292
V 3.4608 -1.8867 -1.9942
```

Properties
- space group = I4/mmm
- formation energy from the elements (eV per atom) = 0.435



(5)
DFT (PBE-GGA) results for a relaxed NbV3 crystal.

Cell and atoms, written as extended XYZ:
```
4
Lattice="-2.8653 -1.1136 0.4700 0.9628 -0.6374 4.3222 -0.5561 4.7436 -1.4872" Properties=species:S:1:pos:R:3 pbc="T T T"
Nb 0.4814 -0.3187 2.1611
V -1.7202 1.1114 2.8619
V -0.7385 1.8813 0.4431
V -1.4327 -0.5568 0.2350
```

Properties
- space group = C2/m
- formation energy from the elements (eV per atom) = 0.051



(6)
DFT (PBE-GGA) results for a relaxed NbV8 crystal.

Cell and atoms, written as extended XYZ:
```
9
Lattice="4.5092 0.0000 0.0000 2.2546 5.3254 0.0000 2.2546 0.0000 5.3254" Properties=species:S:1:pos:R:3 pbc="T T T"
Nb 0.0000 0.0000 0.0000
V 2.2546 0.0000 1.8177
V 4.5092 0.0000 3.5077
V 4.5092 1.8127 1.8127
V 2.2546 1.8177 0.0000
V 2.2546 1.8127 3.5128
V 4.5092 3.5077 0.0000
V 4.5092 3.5128 3.5128
V 2.2546 3.5128 1.8127
```

Properties
- space group = I4/mmm
- formation energy from the elements (eV per atom) = 0.121



(7)
DFT (PBE-GGA) results for a relaxed Nb13V3 crystal.

Cell and atoms, written as extended XYZ:
```
16
Lattice="6.5330 -0.0136 0.0000 -0.0370 6.5329 0.0000 0.0000 0.0000 6.5374" Properties=species:S:1:pos:R:3 pbc="T T T"
Nb 3.2889 0.0116 1.6174
Nb 3.2627 3.2450 1.6177
Nb 6.4962 3.2303 1.6174
Nb 4.9080 4.9369 0.0000
Nb 1.5767 1.5937 0.0000
Nb 1.5724 4.9293 0.0000
Nb 3.2889 0.0116 4.9200
Nb 3.2627 3.2450 4.9197
Nb 6.4962 3.2303 4.9200
Nb 4.9239 1.5897 3.2687
Nb 4.9094 4.9244 3.2687
Nb 1.5892 1.5923 3.2687
Nb 1.5734 4.9283 3.2687
V 6.5149 0.0044 1.6080
V 4.9296 1.5840 0.0000
V 6.5149 0.0044 4.9294
```

Properties
- space group = Amm2
- formation energy from the elements (eV per atom) = 0.020



(8)
DFT (PBE-GGA) results for a relaxed Nb4V crystal.

Cell and atoms, written as extended XYZ:
```
5
Lattice="-4.1520 -0.8101 3.4076 1.8799 -3.0564 -4.7005 1.2291 -0.3765 5.2778" Properties=species:S:1:pos:R:3 pbc="T T T"
Nb 0.8238 -2.0131 2.4600
Nb -1.8668 -2.2300 1.5249
Nb -1.3146 -1.8744 4.2171
Nb 0.2716 -2.3687 -0.2322
V 0.0000 0.0000 0.0000
```

Properties
- space group = Fmmm
- formation energy from the elements (eV per atom) = 0.670



(9)
DFT (PBE-GGA) results for a relaxed NbV crystal.

Cell and atoms, written as extended XYZ:
```
4
Lattice="-2.6296 -0.0928 0.8429 1.3736 -0.9095 4.1849 -0.7631 5.0089 1.3375" Properties=species:S:1:pos:R:3 pbc="T T T"
Nb 0.2278 2.4945 4.0916
Nb -2.2470 1.5121 2.2737
V -0.7057 -0.1485 3.8238
V -1.3135 4.1551 2.5415
```

Properties
- space group = P2_1/m
- formation energy from the elements (eV per atom) = 0.063



(10)
DFT (PBE-GGA) results for a relaxed NbV5 crystal.

Cell and atoms, written as extended XYZ:
```
6
Lattice="-0.1992 -2.1355 2.1847 -1.1480 -2.9367 -2.9751 6.8229 -0.0491 0.5742" Properties=species:S:1:pos:R:3 pbc="T T T"
Nb 0.0000 0.0000 0.0000
V 1.5675 -1.9884 -1.8006
V 4.1075 -0.9974 -0.6004
V -0.6736 -2.5361 -0.3952
V 2.0788 -1.5967 0.7740
V 3.3969 -3.5245 -0.9902
```

Properties
- space group = Cmmm
- formation energy from the elements (eV per atom) = 0.033



(11)
DFT (PBE-GGA) results for a relaxed NbV crystal.

Cell and atoms, written as extended XYZ:
```
16
Lattice="-0.7916 -4.6907 -5.8228 4.4188 -5.0169 3.4408 -3.8023 -1.9288 2.0707" Properties=species:S:1:pos:R:3 pbc="T T T"
Nb 1.5725 -6.2827 -2.9648
Nb 2.0548 -3.4249 0.5828
Nb 0.4675 -3.3255 -2.2391
Nb 3.1597 -6.3821 -0.1428
Nb -2.1423 -2.3933 -0.7384
Nb -2.4516 -4.2262 -3.0136
Nb 1.1716 -4.4530 3.4280
Nb -0.5550 -2.4927 2.0835
V 0.5914 -1.5828 -0.3884
V 3.5693 -4.9637 1.9304
V 0.0580 -4.7439 -4.3123
V 3.0358 -8.1248 -1.9936
V 0.5039 -7.4011 -0.5440
V -0.9371 -5.7650 -1.6661
V 0.7621 -5.8714 1.3548
V -0.6789 -4.2354 0.2328
```

Properties
- space group = I4/mmm
- formation energy from the elements (eV per atom) = 0.333



(12)
DFT (PBE-GGA) results for a relaxed NbV crystal.

Cell and atoms, written as extended XYZ:
```
4
Lattice="4.6506 0.0000 0.0000 0.0000 3.2371 0.0000 0.0000 0.0000 4.2593" Properties=species:S:1:pos:R:3 pbc="T T T"
Nb 0.0000 0.0000 0.0000
Nb 2.3253 1.6185 0.0000
V 2.3253 0.0000 2.1296
V 0.0000 1.6185 2.1296
```

Properties
- space group = Cmmm
- formation energy from the elements (eV per atom) = 0.073



(13)
DFT (PBE-GGA) results for a relaxed NbV3 crystal.

Cell and atoms, written as extended XYZ:
```
12
Lattice="-3.6970 2.6927 2.3619 -0.6748 -1.5970 -4.8468 -0.5207 -8.0088 2.7142" Properties=species:S:1:pos:R:3 pbc="T T T"
Nb -1.3927 -2.9261 1.1600
Nb -3.4997 -3.9870 -0.9307
Nb 0.0000 0.0000 0.0000
V -2.6403 -0.3242 1.8495
V -1.1392 -2.4666 -1.7605
V -2.9793 -1.1280 -0.5856
V -0.5978 -4.8029 -1.0663
V -1.6894 -0.1818 -2.4377
V -3.2031 -6.7313 2.6670
V -3.7533 -4.4465 1.9898
V -2.2522 -6.5889 -1.6202
V -1.9132 -5.7850 0.8150
```

Properties
- space group = R-3m
- formation energy from the elements (eV per atom) = 0.102



(14)
DFT (PBE-GGA) results for a relaxed NbV4 crystal.

Cell and atoms, written as extended XYZ:
```
5
Lattice="-3.3383 -3.0961 -0.3834 0.6383 -0.1281 -4.5225 3.0537 -3.3578 0.5261" Properties=species:S:1:pos:R:3 pbc="T T T"
Nb 0.1768 -3.2910 -2.1899
V 0.0000 0.0000 0.0000
V -0.1423 -3.2269 0.0713
V 1.8460 -1.7430 -1.9982
V -1.3500 -1.6121 -2.4530
```

Properties
- space group = Pm-3m
- formation energy from the elements (eV per atom) = 1.529



(15)
DFT (PBE-GGA) results for a relaxed NbV crystal.

Cell and atoms, written as extended XYZ:
```
8
Lattice="-2.4028 4.3717 -1.1085 -3.0380 -0.6406 4.0588 3.4464 2.6546 2.9986" Properties=species:S:1:pos:R:3 pbc="T T T"
Nb -1.1080 0.7598 0.6008
Nb -0.8679 4.2135 1.9222
Nb -1.1266 2.1722 4.0267
Nb -4.3329 2.9713 2.3495
V -2.8430 0.8985 2.4721
V -2.6679 4.3385 3.8804
V 0.6735 2.0471 2.0685
V -2.5979 2.8326 0.4782
```

Properties
- space group = P4_2/mnm
- formation energy from the elements (eV per atom) = 0.727



(16)
DFT (PBE-GGA) results for a relaxed NbV3 crystal.

Cell and atoms, written as extended XYZ:
```
8
Lattice="-2.8027 3.1372 3.0017 -2.4379 -3.3856 1.2622 3.8083 -1.4615 3.4355" Properties=species:S:1:pos:R:3 pbc="T T T"
Nb 1.4164 -0.8511 4.2159
Nb -2.8487 -0.8588 3.4835
V -2.8660 1.8562 3.2065
V 1.4338 -3.5661 4.4929
V -0.9085 1.0636 4.8611
V -0.5237 -2.7735 2.8383
V -0.4217 -0.1744 2.4807
V -1.0105 -1.5355 5.2187
```

Properties
- space group = P2_1/m
- formation energy from the elements (eV per atom) = 0.046



(17)
DFT (PBE-GGA) results for a relaxed NbV3 crystal.

Cell and atoms, written as extended XYZ:
```
16
Lattice="8.6959 0.0000 0.0000 0.0000 6.2115 0.0000 0.0000 0.0000 4.3786" Properties=species:S:1:pos:R:3 pbc="T T T"
Nb 0.0000 3.9269 1.0946
Nb 0.0000 2.2846 3.2839
Nb 4.3480 0.8212 1.0946
Nb 4.3480 5.3904 3.2839
V 0.0000 0.7339 1.0946
V 0.0000 5.4776 3.2839
V 4.3480 3.8397 1.0946
V 4.3480 2.3718 3.2839
V 2.2090 2.3371 1.0946
V 2.2090 3.8744 3.2839
V 6.4869 2.3371 1.0946
V 6.4869 3.8744 3.2839
V 6.5569 5.4429 1.0946
V 6.5569 0.7686 3.2839
V 2.1390 5.4429 1.0946
V 2.1390 0.7686 3.2839
```

Properties
- space group = Cmcm
- formation energy from the elements (eV per atom) = 0.055



(18)
DFT (PBE-GGA) results for a relaxed NbV3 crystal.

Cell and atoms, written as extended XYZ:
```
8
Lattice="-4.8891 -0.1023 1.4333 0.4152 -4.6090 1.0875 2.6264 1.2407 4.2556" Properties=species:S:1:pos:R:3 pbc="T T T"
Nb -1.2008 -0.7697 2.3913
Nb -0.6467 -2.7008 4.3852
V -1.5701 -0.0460 5.5993
V -0.2774 -3.4245 1.1771
V 1.3132 0.6204 2.1278
V 1.5208 -1.6841 2.6716
V 0.6530 -0.1374 4.3634
V -2.5005 -3.3331 2.4130
```

Properties
- space group = P2_1/m
- formation energy from the elements (eV per atom) = 0.132



(19)
DFT (PBE-GGA) results for a relaxed Nb2V crystal.

Cell and atoms, written as extended XYZ:
```
6
Lattice="-2.7547 -0.1287 -0.4107 3.0527 -4.3897 -0.1430 -1.0885 -1.0235 7.7804" Properties=species:S:1:pos:R:3 pbc="T T T"
Nb 0.0184 -5.1748 4.7008
Nb -1.2044 -3.1296 6.1405
Nb 0.4138 -2.4123 1.0861
Nb -0.8089 -0.3671 2.5258
V 0.9821 -2.7066 3.8187
V -1.3773 -0.0644 -0.2054
```

Properties
- space group = C2/m
- formation energy from the elements (eV per atom) = 0.062



(20)
DFT (PBE-GGA) results for a relaxed NbV crystal.

Cell and atoms, written as extended XYZ:
```
4
Lattice="-1.5766 -2.2084 -1.6738 2.1912 -2.9515 2.3811 -3.6711 2.6057 2.7710" Properties=species:S:1:pos:R:3 pbc="T T T"
Nb -2.0943 0.5716 2.7292
Nb -0.9622 -3.1258 0.7491
V -1.8770 -2.0088 3.1685
V -1.1794 -0.5453 0.3098
```

Properties
- space group = C2/c
- formation energy from the elements (eV per atom) = 0.052



Fermi-level density of states list, top to bottom, in states/eV per cell: 20.317, 7.189, 14.831, 4.757, 7.947, 13.130, 28.102, 5.917, 7.147, 11.590, 18.951, 7.773, 15.409, 7.465, 8.367, 15.223, 29.501, 9.012, 11.567, 6.646